(1)
Computed, not measured: a relaxed structure of Mn2CrTe at the PBE-GGA level of DFT.

a = 8.2576 Å, b = 8.2576 Å, c = 8.2576 Å
α = 21.66°, β = 21.66°, γ = 21.66°
Element x y z (fractional)
1 Mn 0.0087 0.0087 0.0087
2 Mn 0.2576 0.2576 0.2576
3 Te 0.4960 0.4960 0.4960
4 Cr 0.7377 0.7377 0.7377

Properties
spin magnetization: 4.13 μB per cell
energy relative to the elements, uncorrected: 0.574 eV/atom

=====

(2)
Computed, not measured: a relaxed structure of MnCr2Te6 at the PBE-GGA level of DFT.

a = 3.8517 Å, b = 7.2876 Å, c = 9.0727 Å
α = 103.73°, β = 90.00°, γ = 105.32°
Element x y z (fractional)
1 Cr 0.6674 0.3348 0.8352
2 Cr 0.3326 0.6652 0.1648
3 Te 0.6942 0.3884 0.1398
4 Te 0.0292 0.0585 0.8052
5 Te 0.3058 0.6116 0.8602
6 Te 0.6366 0.2732 0.5290
7 Te 0.3634 0.7268 0.4710
8 Te 0.9708 0.9416 0.1948
9 Mn 0.0000 0.0000 0.5000

Properties
spin magnetization: 7.97 μB per cell
energy relative to the elements, uncorrected: -0.214 eV/atom

=====

(3)
Computed, not measured: a relaxed structure of TiMn2CrTe6 at the PBE-GGA level of DFT.

a = 7.0278 Å, b = 7.0320 Å, c = 7.3093 Å
α = 61.27°, β = 61.28°, γ = 60.03°
Element x y z (fractional)
1 Mn 0.5060 0.5059 0.4821
2 Mn 0.0050 0.0049 0.9852
3 Ti 0.3294 0.3297 0.0117
4 Te 0.7420 0.0915 0.7507
5 Te 0.4156 0.7421 0.7508
6 Te 0.0915 0.4157 0.7505
7 Te 0.9168 0.5921 0.2546
8 Te 0.5922 0.2363 0.2545
9 Te 0.2365 0.9167 0.2546
10 Cr 0.8265 0.8266 0.5205

Properties
spin magnetization: 12.03 μB per cell
energy relative to the elements, uncorrected: -0.294 eV/atom

=====

(4)
Computed, not measured: a relaxed structure of MnTl3Cr2Te6 at the PBE-GGA level of DFT.

a = 7.1496 Å, b = 7.1496 Å, c = 8.1538 Å
α = 98.37°, β = 98.37°, γ = 120.04°
Element x y z (fractional)
1 Te 0.3994 0.0624 0.1874
2 Te 0.0624 0.3994 0.1874
3 Te 0.6006 0.9376 0.8126
4 Te 0.9376 0.6006 0.8126
5 Te 0.2742 0.2742 0.8147
6 Te 0.7258 0.7258 0.1853
7 Tl 0.5000 0.5000 0.5000
8 Tl 0.8335 0.1665 0.5000
9 Tl 0.1665 0.8335 0.5000
10 Mn 0.0000 0.0000 0.0000
11 Cr 0.3332 0.6668 0.0000
12 Cr 0.6668 0.3332 0.0000

Properties
spin magnetization: 10.26 μB per cell
energy relative to the elements, uncorrected: -0.242 eV/atom